NbAgWO6 after structural relaxation, computed with PBE with a Hubbard U.

Cell and atoms, written as extended XYZ:
```
18
Lattice="5.325 0.000 0.000 -2.663 4.612 0.000 0.000 0.000 10.317" Properties=species:S:1:pos:R:3 pbc="T T T"
Nb 0.000 3.075 2.579
Nb 2.663 1.537 7.738
Ag 0.000 0.000 0.000
Ag 0.000 0.000 5.158
W 0.000 3.075 7.738
W 2.663 1.537 2.579
O -0.974 1.771 6.647
O -1.616 2.882 8.828
O 0.974 1.771 8.828
O -0.642 4.570 6.647
O 2.021 0.042 1.489
O 1.047 1.730 3.670
O 1.616 2.882 6.647
O 0.642 4.570 8.828
O 3.304 0.042 3.670
O 1.688 2.841 1.489
O 4.279 1.730 1.489
O 3.637 2.841 3.670
```

## Properties
- total moment (μB per cell) = 0.0
- total energy (eV/atom) = -7.38